The following is a DFT calculation (PBE) of crystalline SrCoTc2 at its relaxed geometry.

```
SrCoTc2
1.0
2.7126 -2.4887 -2.6290
0.4536 -4.4339 0.7734
-1.7752 -2.9933 -2.8900
Sr Tc Co
1 2 1
Direct
0.5000 0.5000 0.5000
0.2500 0.2500 0.2500
0.7500 0.7500 0.7500
0.0000 0.0000 0.0000
```

Summary:
E above lowest polymorph ... 734.9 meV per atom
M_tot ... 0.000 μB per cell
Formation enthalpy at 0 K ... 1.22 eV per atom
Symmetry ... No. 225